The following is a DFT calculation (GGA-PBE) of a relaxed Dy2TmIn3Ni3 crystal.

Geometry as POSCAR:
```
Dy2TmIn3Ni3
1.0
3.751 0.000 0.000
0.000 6.420 3.722
0.000 -6.420 3.722
Dy Tm In Ni
2 1 3 3
Cartesian
0.000 -3.785 3.722
0.000 3.785 3.722
0.000 0.000 4.577
1.876 -1.634 2.486
1.876 1.634 2.486
1.876 0.000 7.057
0.000 0.000 1.534
1.876 -2.124 5.246
1.876 2.124 5.246
```

M_tot   0.0 μB/f.u.
Electronic total energy   -4.80 eV per atom

=====

The following is a DFT calculation (GGA-PBE) of a relaxed K3NaP2Au2 crystal.

Geometry as POSCAR:
```
K3NaP2Au2
1.0
5.976 0.000 0.000
0.000 6.258 0.000
-1.645 0.000 5.863
K Na P Au
3 1 2 2
Cartesian
0.000 0.000 0.000
-0.219 3.129 2.126
1.038 0.000 3.877
3.012 3.129 4.173
0.252 3.129 5.394
3.972 0.000 2.582
2.879 1.577 1.119
2.879 4.682 1.119
```

Electronic total energy   -3.22 eV per atom

=====

The following is a DFT calculation (GGA-PBE) of a relaxed Nd2Y2BBr5 crystal.

Geometry as POSCAR:
```
Nd2Y2BBr5
1.0
9.079 -1.998 0.000
9.079 1.998 0.000
-1.878 0.000 8.323
Nd Y B Br
2 2 1 5
Cartesian
-0.517 0.000 2.395
16.798 0.000 5.929
5.704 0.000 3.547
10.577 0.000 4.776
8.140 0.000 4.162
1.519 0.000 6.858
2.533 0.000 2.883
9.079 0.000 0.000
13.748 0.000 5.440
14.762 0.000 1.466
```

M_tot   0.0 μB/f.u.
Electronic total energy   -5.16 eV per atom

=====

The following is a DFT calculation (GGA-PBE) of a relaxed CsHfPb crystal.

Geometry as POSCAR:
```
CsHfPb
1.0
7.726 0.000 0.000
0.000 7.726 0.000
0.000 0.000 7.726
Cs Hf Pb
4 4 4
Cartesian
0.000 0.000 0.000
0.000 3.863 3.863
3.863 0.000 3.863
3.863 3.863 0.000
1.932 1.932 5.794
1.932 5.794 1.932
5.794 1.932 1.932
5.794 5.794 5.794
1.932 1.932 1.932
1.932 5.794 5.794
5.794 1.932 5.794
5.794 5.794 1.932
```

M_tot   0.4 μB/f.u.
Electronic total energy   -3.19 eV per atom

=====

The following is a DFT calculation (GGA-PBE) of a relaxed NbSi2Au crystal.

Geometry as POSCAR:
```
NbSi2Au
1.0
6.437 0.000 0.000
0.000 6.437 0.000
0.000 0.000 6.437
Nb Si Au
4 8 4
Cartesian
0.000 0.000 0.000
0.000 3.219 3.219
3.219 0.000 3.219
3.219 3.219 0.000
0.000 0.000 3.219
0.000 3.219 0.000
1.609 1.609 4.828
1.609 4.828 1.609
3.219 0.000 0.000
3.219 3.219 3.219
4.828 1.609 1.609
4.828 4.828 4.828
1.609 1.609 1.609
1.609 4.828 4.828
4.828 1.609 4.828
4.828 4.828 1.609
```

M_tot   0.0 μB/f.u.
Electronic total energy   -5.68 eV per atom

=====

The following is a DFT calculation (GGA-PBE) of a relaxed SrInAgS3 crystal.

Geometry as POSCAR:
```
SrInAgS3
1.0
7.549 0.000 0.000
0.000 3.983 0.000
-2.557 0.000 9.066
Sr In Ag S
2 2 2 6
Cartesian
1.141 0.996 2.618
3.851 2.987 6.448
0.173 2.987 7.752
4.819 0.996 1.314
-0.806 0.996 5.393
5.799 2.987 3.673
-1.612 0.996 7.806
0.797 2.987 4.930
2.970 2.987 1.268
2.022 0.996 7.798
4.195 0.996 4.135
6.604 2.987 1.260
```

Relative energy among the computed polymorphs   0.0 meV/atom

=====

The following is a DFT calculation (GGA-PBE) of a relaxed La2In4IrPt crystal.

Geometry as POSCAR:
```
La2In4IrPt
1.0
8.027 0.000 0.000
0.000 4.528 0.000
0.000 0.000 10.476
La In Ir Pt
4 8 2 2
Cartesian
0.000 0.000 0.000
0.000 2.264 5.238
4.014 0.000 1.442
4.014 2.264 6.680
1.575 0.000 7.462
1.575 2.264 2.223
2.401 0.000 4.441
2.401 2.264 9.679
5.626 0.000 4.441
5.626 2.264 9.679
6.453 0.000 7.462
6.453 2.264 2.223
0.000 0.000 2.943
0.000 2.264 8.181
4.014 0.000 8.900
4.014 2.264 3.662
```

M_tot   0.0 μB/f.u.
Electronic total energy   -5.14 eV per atom

=====

The following is a DFT calculation (GGA-PBE) of a relaxed GdEr2Fe2Ni7 crystal.

Geometry as POSCAR:
```
GdEr2Fe2Ni7
1.0
2.494 1.440 8.050
-2.494 1.440 8.050
0.000 -2.880 8.050
Gd Er Fe Ni
1 2 2 7
Cartesian
0.000 0.000 0.000
0.000 0.000 3.369
0.000 0.000 20.781
0.000 0.000 8.036
0.000 0.000 16.114
-1.246 -0.719 10.034
0.000 -1.439 14.116
-1.246 0.719 14.116
0.000 0.000 12.075
1.246 -0.719 10.034
0.000 1.439 10.034
1.246 0.719 14.116
```

M_tot   6.1 μB/f.u.
Formation enthalpy at 0 K   -0.3560 eV per atom